[1]
# Al2ZnCu, PBEsol geometry, DFT SCAN
data_Al2ZnCu
_chemical_formula_sum 'Al4 Zn2 Cu2'
_cell_length_a 8.436
_cell_length_b 2.816
_cell_length_c 4.897
_cell_angle_alpha 90.00
_cell_angle_beta 101.63
_cell_angle_gamma 90.00
_space_group_name_H-M_alt 'C 1 2/m 1'
_space_group_IT_number 12
_space_group_name_Hall '-C 2y'
loop_
_atom_site_label
_atom_site_fract_x
_atom_site_fract_y
_atom_site_fract_z
Al1 0.245 0.000 0.240
Zn1 0.000 0.000 0.500
Cu1 0.000 0.500 0.000
# E_form, eV per formula unit: -0.33
# V, Å³/atom: 14.25

***

[2]
# AlZnCu, PBEsol geometry, DFT SCAN
data_AlZnCu
_chemical_formula_sum 'Al4 Zn4 Cu4'
_cell_length_a 5.688
_cell_length_b 5.688
_cell_length_c 5.688
_cell_angle_alpha 90.00
_cell_angle_beta 90.00
_cell_angle_gamma 90.00
_space_group_name_H-M_alt 'F -4 3 m'
_space_group_IT_number 216
_space_group_name_Hall 'F -4 2 3'
loop_
_atom_site_label
_atom_site_fract_x
_atom_site_fract_y
_atom_site_fract_z
Al1 0.000 0.000 0.000
Zn1 0.000 0.000 0.500
Cu1 0.250 0.250 0.250
# E_form, eV per formula unit: -0.32
# V, Å³/atom: 15.33

***

[3]
# Al2ZnCu, PBEsol geometry, DFT SCAN
data_Al2ZnCu
_chemical_formula_sum 'Al2 Zn1 Cu1'
_cell_length_a 2.760
_cell_length_b 3.791
_cell_length_c 5.412
_cell_angle_alpha 90.00
_cell_angle_beta 90.00
_cell_angle_gamma 90.00
_space_group_name_H-M_alt 'P m m 2'
_space_group_IT_number 25
_space_group_name_Hall 'P 2 -2'
loop_
_atom_site_label
_atom_site_fract_x
_atom_site_fract_y
_atom_site_fract_z
Al1 0.000 0.000 0.000
Al2 0.500 0.500 0.276
Zn1 0.500 0.500 0.755
Cu1 0.000 0.000 0.501
# E_form, eV per formula unit: -0.29
# V, Å³/atom: 14.16

***

[4]
# Al2ZnCu, PBEsol geometry, DFT SCAN
data_Al2ZnCu
_chemical_formula_sum 'Al4 Zn2 Cu2'
_cell_length_a 9.154
_cell_length_b 2.716
_cell_length_c 4.659
_cell_angle_alpha 90.00
_cell_angle_beta 101.02
_cell_angle_gamma 90.00
_space_group_name_H-M_alt 'C 1 m 1'
_space_group_IT_number 8
_space_group_name_Hall 'C -2y'
loop_
_atom_site_label
_atom_site_fract_x
_atom_site_fract_y
_atom_site_fract_z
Al1 0.000 0.000 0.000
Al2 0.238 0.000 0.713
Zn1 0.479 0.000 0.481
Cu1 0.242 0.500 0.213
# E_form, eV per formula unit: -0.30
# V, Å³/atom: 14.21

***

[5]
# Al2ZnCu, PBEsol geometry, DFT SCAN
data_Al2ZnCu
_chemical_formula_sum 'Al2 Zn1 Cu1'
_cell_length_a 2.675
_cell_length_b 2.815
_cell_length_c 7.592
_cell_angle_alpha 90.00
_cell_angle_beta 90.00
_cell_angle_gamma 90.00
_space_group_name_H-M_alt 'P m m 2'
_space_group_IT_number 25
_space_group_name_Hall 'P 2 -2'
loop_
_atom_site_label
_atom_site_fract_x
_atom_site_fract_y
_atom_site_fract_z
Al1 0.000 0.000 0.000
Al2 0.500 0.500 0.287
Zn1 0.000 0.000 0.552
Cu1 0.500 0.500 0.778
# E_form, eV per formula unit: -0.30
# V, Å³/atom: 14.29

***

[6]
# Al2ZnCu, PBEsol geometry, DFT SCAN
data_Al2ZnCu
_chemical_formula_sum 'Al2 Zn1 Cu1'
_cell_length_a 3.059
_cell_length_b 3.986
_cell_length_c 4.929
_cell_angle_alpha 90.00
_cell_angle_beta 107.23
_cell_angle_gamma 90.00
_space_group_name_H-M_alt 'P 1 m 1'
_space_group_IT_number 6
_space_group_name_Hall 'P -2y'
loop_
_atom_site_label
_atom_site_fract_x
_atom_site_fract_y
_atom_site_fract_z
Al1 0.000 0.000 0.000
Al2 0.307 0.500 0.634
Zn1 0.726 0.000 0.464
Cu1 0.572 0.500 0.159
# E_form, eV per formula unit: -0.50
# V, Å³/atom: 14.35

***

[7]
# AlZnCu, PBEsol geometry, DFT SCAN
data_AlZnCu
_chemical_formula_sum 'Al2 Zn2 Cu2'
_cell_length_a 2.718
_cell_length_b 2.718
_cell_length_c 11.006
_cell_angle_alpha 90.00
_cell_angle_beta 90.00
_cell_angle_gamma 90.00
_space_group_name_H-M_alt 'I 4 m m'
_space_group_IT_number 107
_space_group_name_Hall 'I 4 -2'
loop_
_atom_site_label
_atom_site_fract_x
_atom_site_fract_y
_atom_site_fract_z
Al1 0.000 0.000 0.000
Zn1 0.000 0.000 0.316
Cu1 0.000 0.000 0.656
# E_form, eV per formula unit: -0.26
# V, Å³/atom: 13.55

***

[8]
# Al2ZnCu, PBEsol geometry, DFT SCAN
data_Al2ZnCu
_chemical_formula_sum 'Al2 Zn1 Cu1'
_cell_length_a 4.441
_cell_length_b 2.889
_cell_length_c 4.774
_cell_angle_alpha 90.00
_cell_angle_beta 111.51
_cell_angle_gamma 90.00
_space_group_name_H-M_alt 'P 1 2/m 1'
_space_group_IT_number 10
_space_group_name_Hall '-P 2y'
loop_
_atom_site_label
_atom_site_fract_x
_atom_site_fract_y
_atom_site_fract_z
Al1 0.000 0.000 0.000
Al2 0.000 0.500 0.500
Zn1 0.500 0.000 0.500
Cu1 0.500 0.500 0.000
# E_form, eV per formula unit: -0.31
# V, Å³/atom: 14.25

***

[9]
# AlZnCu, PBEsol geometry, DFT SCAN
data_AlZnCu
_chemical_formula_sum 'Al1 Zn1 Cu1'
_cell_length_a 2.7496
_cell_length_b 2.7496
_cell_length_c 6.2366
_cell_angle_alpha 90.00
_cell_angle_beta 90.00
_cell_angle_gamma 120.00
_space_group_name_H-M_alt 'P 3 m 1'
_space_group_IT_number 156
_space_group_name_Hall 'P 3 -2"'
loop_
_atom_site_label
_atom_site_fract_x
_atom_site_fract_y
_atom_site_fract_z
Al1 0.0000 0.0000 0.0000
Zn1 0.6667 0.3333 0.3589
Cu1 0.3333 0.6667 0.6809
# E_form, eV per formula unit: -0.20
# V, Å³/atom: 13.61

***

[10]
# Al2ZnCu, PBEsol geometry, DFT SCAN
data_Al2ZnCu
_chemical_formula_sum 'Al2 Zn1 Cu1'
_cell_length_a 2.750
_cell_length_b 2.750
_cell_length_c 7.558
_cell_angle_alpha 90.00
_cell_angle_beta 90.00
_cell_angle_gamma 90.00
_space_group_name_H-M_alt 'P 4/m m m'
_space_group_IT_number 123
_space_group_name_Hall '-P 4 2'
loop_
_atom_site_label
_atom_site_fract_x
_atom_site_fract_y
_atom_site_fract_z
Al1 0.000 0.000 0.228
Zn1 0.500 0.500 0.500
Cu1 0.500 0.500 0.000
# E_form, eV per formula unit: -0.42
# V, Å³/atom: 14.29

***

[11]
# Al2ZnCu, PBEsol geometry, DFT SCAN
data_Al2ZnCu
_chemical_formula_sum 'Al6 Zn3 Cu3'
_cell_length_a 2.8339
_cell_length_b 2.8339
_cell_length_c 24.6449
_cell_angle_alpha 90.00
_cell_angle_beta 90.00
_cell_angle_gamma 120.00
_space_group_name_H-M_alt 'R -3 m'
_space_group_IT_number 166
_space_group_name_Hall '-R 3 2"'
loop_
_atom_site_label
_atom_site_fract_x
_atom_site_fract_y
_atom_site_fract_z
Al1 0.0000 0.0000 0.2458
Zn1 0.0000 0.0000 0.0000
Cu1 0.0000 0.0000 0.5000
# E_form, eV per formula unit: -0.37
# V, Å³/atom: 14.28

***

[12]
# AlZnCu, PBEsol geometry, DFT SCAN
data_AlZnCu
_chemical_formula_sum 'Al2 Zn2 Cu2'
_cell_length_a 2.930
_cell_length_b 3.544
_cell_length_c 7.756
_cell_angle_alpha 90.00
_cell_angle_beta 90.00
_cell_angle_gamma 90.00
_space_group_name_H-M_alt 'I m m 2'
_space_group_IT_number 44
_space_group_name_Hall 'I 2 -2'
loop_
_atom_site_label
_atom_site_fract_x
_atom_site_fract_y
_atom_site_fract_z
Al1 0.000 0.000 0.000
Zn1 0.000 0.000 0.328
Cu1 0.000 0.000 0.663
# E_form, eV per formula unit: -0.41
# V, Å³/atom: 13.42

***

- Which of these has the lowest E_form?
  number 6

***

- Which of these has the lowest V?
  number 12